# BaSr2LaCu (PBE-GGA, optimized geometry)
# Electronic total energy ... -14.03 eV/f.u.
# Fermi-level density of states ... 1.379 states/eV per atom
# ΔH_f (0 K) ... 5.5 kJ/mol of atoms
data_BaSr2LaCu
_chemical_formula_sum 'Ba1 Sr2 La1 Cu1'
_cell_length_a 6.245
_cell_length_b 6.245
_cell_length_c 5.730
_cell_angle_alpha 90.00
_cell_angle_beta 90.00
_cell_angle_gamma 90.00
_symmetry_space_group_name_H-M 'P 4/m m m'
_symmetry_Int_Tables_number 123
_symmetry_space_group_name_Hall '-P 4 2'
loop_
_atom_site_label
_atom_site_fract_x
_atom_site_fract_y
_atom_site_fract_z
_atom_site_occupancy
Ba1 0.000 0.000 0.000 1
Sr1 0.000 0.500 0.500 1
La1 0.500 0.500 0.000 1
Cu1 0.500 0.500 0.500 1